# 1
# Te2OsSN

A relaxed Te2OsSN crystal (PBE, the Alexandria database).

Calculated values
Total DFT energy (no corrections)   -5.453 eV per atom
Uncorrected formation energy   0.54 eV/atom
SG   No. 123
Polymorph energy (0 for the lowest one)   0.0 meV/atom

The structure in extended XYZ format:
```
5
Lattice="5.407 0.000 0.000 0.000 5.407 0.000 0.000 0.000 3.671" Properties=species:S:1:pos:R:3 pbc="T T T"
Te 0.000 2.704 0.000
Te 2.704 0.000 0.000
Os 0.000 0.000 0.000
S 2.704 2.704 1.836
N 0.000 0.000 1.836
```



# 2
# TaNi2P

A relaxed TaNi2P crystal (PBE, the Alexandria database).

Calculated values
ΔH_f (0 K)   -2.48 eV/f.u.
Total DFT energy (no corrections)   -7.827 eV per atom
SG   No. 62

The structure in extended XYZ format:
```
16
Lattice="6.008 0.000 0.000 0.000 3.655 0.000 0.000 0.000 9.121" Properties=species:S:1:pos:R:3 pbc="T T T"
Ta 1.472 0.914 1.658
Ta 1.531 2.741 6.219
Ta 4.476 0.914 2.902
Ta 4.535 2.741 7.463
Ni 0.335 2.741 3.694
Ni 0.986 2.741 8.867
Ni 2.018 0.914 4.306
Ni 2.669 0.914 8.254
Ni 3.339 2.741 0.867
Ni 3.989 2.741 4.815
Ni 5.022 0.914 0.254
Ni 5.672 0.914 5.427
P 0.432 0.914 7.632
P 2.572 2.741 3.071
P 3.436 0.914 6.049
P 5.576 2.741 1.489
```



# 3
# Ca2PrTlN

A relaxed Ca2PrTlN crystal (PBE, the Alexandria database).

Calculated values
Total DFT energy (no corrections)   -4.600 eV per atom
Uncorrected formation energy   -0.71 eV/atom
SG   No. 123

The structure in extended XYZ format:
```
5
Lattice="4.955 0.000 0.000 0.000 4.955 0.000 0.000 0.000 5.078" Properties=species:S:1:pos:R:3 pbc="T T T"
Ca 0.000 2.477 0.000
Ca 2.477 0.000 0.000
Pr 0.000 0.000 2.539
Tl 2.477 2.477 2.539
N 0.000 0.000 0.000
```



# 4
# PmHo6Tl3

A relaxed PmHo6Tl3 crystal (PBE, the Alexandria database).

Calculated values
ΔH_f (0 K)   -1.90 eV/f.u.
Total DFT energy (no corrections)   -4.121 eV per atom
SG   No. 11

The structure in extended XYZ format:
```
20
Lattice="10.140 0.000 0.000 0.000 5.187 0.000 -2.290 0.000 11.157" Properties=species:S:1:pos:R:3 pbc="T T T"
Pm -0.487 1.297 4.512
Pm 8.337 3.890 6.645
Ho -1.114 3.890 10.081
Ho 0.809 3.890 2.441
Ho 0.295 1.297 8.061
Ho 1.610 3.890 5.767
Ho 2.847 1.297 3.543
Ho 4.229 3.890 1.036
Ho 3.621 1.297 10.122
Ho 5.003 3.890 7.614
Ho 6.241 1.297 5.391
Ho 7.555 3.890 3.096
Ho 7.041 1.297 8.716
Ho 8.965 1.297 1.076
Tl 2.159 1.297 0.459
Tl 1.965 3.890 9.031
Tl 3.312 1.297 6.830
Tl 4.538 3.890 4.328
Tl 5.885 1.297 2.126
Tl 5.691 3.890 10.698
```



| no. | magnetic moment (μB per formula unit) |
| --- | --- |
| 1 | 0.00 |
| 2 | 0.00 |
| 3 | 0.00 |
| 4 | 0.00 |